A relaxed structure of PmNd2PaBi4, computed with GGA-PBE.

## Properties
**Energy relative to the elements**: -0.724 eV per atom

Cell lengths 7.913, 4.556, 7.918 Å; angles 90.00, 109.23, 90.00 degrees
Space group P2/m (No. 10)
One atom of each set of equivalent atoms:
Pm 0.000 0.000 0.000 (multiplicity 1)
Nd 0.000 0.500 0.500 (multiplicity 1)
Nd 0.500 0.000 0.500 (multiplicity 1)
Pa 0.500 0.500 0.000 (multiplicity 1)
Bi 0.253 0.500 0.245 (multiplicity 2)
Bi 0.255 0.000 0.756 (multiplicity 2)

A relaxed structure of Tl2GaRhO6, computed with GGA-PBE.

## Properties
**Formation energy without anion corrections**: -0.91 eV per atom

Cell lengths 5.5276, 5.5276, 13.7643 Å; angles 90.00, 90.00, 120.00 degrees
Space group R3 (No. 146, hexagonal axes)
One atom of each set of equivalent atoms:
Tl 0.0000 0.0000 0.0000 (multiplicity 3)
Tl 0.0000 0.0000 0.4969 (multiplicity 3)
Ga 0.0000 0.0000 0.2308 (multiplicity 3)
Rh 0.0000 0.0000 0.7258 (multiplicity 3)
O 0.0664 0.3443 0.3007 (multiplicity 9)
O 0.0701 0.7204 0.8015 (multiplicity 9)

Calculated total energy values, unit eV per formula unit, following the record order: -45.10 -53.98.
Magnetization values, unit μB/cell, following the record order: 1.0 0.0.